A relaxed structure of KLa2Re. Source: Alexandria, functional GGA-PBE.

- DOS at the Fermi energy: 3.27 states/eV per cell
- Distance to the lowest polymorph of the same formula: 802 meV per atom
- Size of the total moment: 0.00 Bohr magnetons per cell
- E_tot: -4.80 eV/atom
- Energy of formation from the pure elements: 1052 meV/atom

Cell: 5.338 5.338 5.338 Å, 60.00 60.00 60.00°
Element x y z (fractional)
K  0.500  0.500  0.500
La  0.000  0.000  0.000
La  0.250  0.250  0.250
Re  0.750  0.750  0.750



A relaxed structure of SiSb2As. Source: Alexandria, functional GGA-PBE.

- DOS at the Fermi energy: 3.10 states/eV per cell
- Distance to the lowest polymorph of the same formula: 275 meV per atom
- E_form (uncorrected): 0.438 eV per atom
- Size of the total moment: 0.00 Bohr magnetons per cell
- E_tot: -4.14 eV/atom

Cell: 3.471 3.471 7.331 Å, 90.00 90.00 90.00°
Element x y z (fractional)
As  0.500  0.500  0.750
Sb  0.000  0.000  0.013
Sb  0.000  0.000  0.487
Si  0.500  0.500  0.250